No. 1
DFT (PBE) results for a relaxed structure of RbSr2Hg.

Values from the calculation:
V   634.26 Å³ per cell
D(E_F)   1.6887 states/eV/atom
Crystal system   tetragonal
Calculated total energy   -0.993 eV/atom
Size of the total moment   0.00 μB per cell

Cell: 8.442 8.442 10.716 Å, 66.80 66.80 90.00°
Fractional coordinates of all 8 atoms:
Hg  0.750  0.250  0.500
Rb  0.250  0.750  0.500
Rb  0.500  0.500  0.000
Sr  0.375  0.159  0.750
Hg  0.000  0.000  0.000
Sr  0.909  0.625  0.250
Sr  0.875  0.091  0.750
Sr  0.841  0.125  0.250


No. 2
DFT (PBE) results for a relaxed structure of Al3In6Cl14.

Values from the calculation:
ΔE_f (raw)   -1.112 eV per atom
V   763.80 Å³ per cell
D(E_F)   0.3065 states/eV/atom
Crystal system   trigonal
Calculated total energy   -3.438 eV/atom
Size of the total moment   1.09 μB per cell

Cell: 6.625 11.538 11.538 Å, 120.00 90.00 90.00°
Last column: magnetic moment on the atom in μB.
Fractional coordinates of all 23 atoms:
Cl  0.662  0.475  0.268  0.00
In  0.818  0.472  0.997  0.05
In  0.207  0.746  0.069  0.05
Cl  0.933  0.038  0.191  0.00
Cl  0.498  0.265  0.467  0.00
Cl  0.491  0.000  0.000  0.00
Cl  0.498  0.201  0.735  0.00
Cl  0.933  0.153  0.962  0.00
Cl  0.662  0.793  0.525  0.00
In  0.207  0.323  0.254  0.05
In  0.818  0.525  0.528  0.05
In  0.818  0.003  0.475  0.05
Cl  0.060  0.333  0.667  0.00
Al  0.460  0.667  0.333  0.01
Cl  0.498  0.533  0.799  0.00
Cl  0.662  0.732  0.207  0.00
Cl  0.259  0.618  0.472  0.00
In  0.207  0.931  0.677  0.05
Al  0.815  0.000  0.000  0.00
Al  0.385  0.333  0.667  0.00
Cl  0.259  0.528  0.146  0.00
Cl  0.259  0.854  0.382  0.00
Cl  0.933  0.809  0.847  0.00


No. 3
DFT (PBE) results for a relaxed structure of ScB2F8.

Values from the calculation:
ΔE_f (raw)   -2.912 eV per atom
V   140.43 Å³ per cell
D(E_F)   0.1176 states/eV/atom
Crystal system   monoclinic
Calculated total energy   -6.063 eV/atom
Size of the total moment   1.00 μB per cell

Cell: 5.207 5.727 5.727 Å, 58.51 76.61 76.61°
Last column: magnetic moment on the atom in μB.
Fractional coordinates of all 11 atoms:
B  0.674  0.807  0.807  0.00
F  0.771  0.668  0.069  0.00
F  0.615  0.146  0.146  0.00
F  0.229  0.931  0.332  0.00
F  0.754  0.666  0.666  0.00
F  0.771  0.069  0.668  0.00
F  0.385  0.854  0.854  0.00
F  0.229  0.332  0.931  0.00
B  0.326  0.193  0.193  0.00
F  0.246  0.334  0.334  0.00
Sc  0.000  0.000  0.000  0.82


No. 4
DFT (PBE) results for a relaxed structure of Cu5Au.

Values from the calculation:
ΔE to the lowest computed polymorph   3.5 kJ per mole of atoms
V   78.52 Å³ per cell
D(E_F)   0.5424 states/eV/atom
Crystal system   tetragonal
Calculated total energy   -3.943 eV/atom
Size of the total moment   0.00 μB per cell

Cell: 10.509 2.733 2.733 Å, 90.00 90.00 90.00°
Fractional coordinates of all 6 atoms:
Cu  0.645  0.000  0.000
Cu  0.022  0.000  0.000
Cu  0.178  0.500  0.500
Au  0.833  0.500  0.500
Cu  0.489  0.500  0.500
Cu  0.333  0.000  0.000


No. 5
DFT (PBE) results for a relaxed structure of Cs2BaScI6.

Values from the calculation:
ΔE_f (raw)   -1.423 eV per atom
V   508.61 Å³ per cell
D(E_F)   0.6364 states/eV/atom
Crystal system   cubic
Calculated total energy   -3.349 eV/atom
Size of the total moment   1.00 μB per cell

Cell: 8.960 8.960 8.960 Å, 60.00 60.00 90.00°
Last column: magnetic moment on the atom in μB.
Fractional coordinates of all 10 atoms:
I  0.266  0.266  0.467  -0.01
I  0.266  0.734  0.000  -0.01
I  0.266  0.266  0.000  -0.01
Sc  0.500  0.500  0.000  0.65
Ba  0.000  0.000  0.000  0.03
Cs  0.250  0.750  0.500  0.00
I  0.734  0.734  0.533  -0.01
Cs  0.750  0.250  0.500  0.00
I  0.734  0.734  0.000  -0.01
I  0.734  0.266  0.000  -0.01


No. 6
DFT (PBE) results for a relaxed structure of GeMoOs.

Values from the calculation:
V   44.35 Å³ per cell
D(E_F)   0.4751 states/eV/atom
Crystal system   tetragonal
Calculated total energy   -8.877 eV/atom
Size of the total moment   0.00 μB per cell

Cell: 2.957 2.957 5.487 Å, 105.63 105.63 90.00°
Fractional coordinates of all 3 atoms:
Os  0.326  0.326  0.653
Ge  0.673  0.673  0.345
Mo  0.001  0.001  0.002


No. 7
DFT (PBE) results for a relaxed structure of LaZn2Os.

Values from the calculation:
V   84.50 Å³ per cell
D(E_F)   0.9290 states/eV/atom
Crystal system   monoclinic
Calculated total energy   -4.734 eV/atom
Size of the total moment   0.00 μB per cell

Cell: 4.407 4.407 5.637 Å, 66.92 66.92 59.95°
Fractional coordinates of all 4 atoms:
Os  0.307  0.307  0.078
La  0.506  0.506  0.483
Zn  0.704  0.704  0.888
Zn  0.983  0.983  0.051


No. 8
DFT (PBE) results for a relaxed structure of LaPmGeS.

Values from the calculation:
ΔE_f (raw)   -1.470 eV per atom
V   107.74 Å³ per cell
D(E_F)   0.4241 states/eV/atom
Crystal system   trigonal
Calculated total energy   -6.076 eV/atom
Size of the total moment   0.00 μB per cell

Cell: 4.239 4.239 7.343 Å, 73.22 73.22 60.00°
Fractional coordinates of all 4 atoms:
Ge  0.942  0.942  0.174
Pm  0.194  0.194  0.419
S  0.446  0.446  0.661
La  0.695  0.695  0.916


Q: Which value of size of the total moment does entry 4 give?
A: 0.00 μB per cell


Q: D(E_F) of number 2 (Al3In6Cl14)?
A: 0.3065 states/eV/atom